Record 1
Entry from Alexandria via LeMat-Bulk: a relaxed structure of MgTi2Sn2 (PBE).

Geometry as POSCAR:
```
MgTi2Sn2
1.0
8.126 0.000 0.000
0.000 8.126 0.000
0.000 0.000 3.202
Mg Ti Sn
2 4 4
direct
0.000 0.000 0.000 Mg
0.500 0.500 0.000 Mg
0.119 0.381 0.000 Ti
0.381 0.881 0.000 Ti
0.619 0.119 0.000 Ti
0.881 0.619 0.000 Ti
0.177 0.677 0.500 Sn
0.323 0.177 0.500 Sn
0.677 0.823 0.500 Sn
0.823 0.323 0.500 Sn
```



Record 2
Entry from Alexandria via LeMat-Bulk: a relaxed structure of Mg2TiSn2 (PBE).

Geometry as POSCAR:
```
Mg2TiSn2
1.0
7.413 0.000 0.000
0.000 7.413 0.000
0.000 0.000 4.230
Mg Ti Sn
4 2 4
direct
0.166 0.334 0.000 Mg
0.334 0.834 0.000 Mg
0.666 0.166 0.000 Mg
0.834 0.666 0.000 Mg
0.000 0.000 0.500 Ti
0.500 0.500 0.500 Ti
0.142 0.642 0.500 Sn
0.358 0.142 0.500 Sn
0.642 0.858 0.500 Sn
0.858 0.358 0.500 Sn
```



Record 3
Entry from Alexandria via LeMat-Bulk: a relaxed structure of Mg2TiSn (PBE).

Geometry as POSCAR:
```
Mg2TiSn
1.0
-4.001 4.001 2.839
4.001 -4.001 2.839
4.001 4.001 -2.839
Mg Ti Sn
4 2 2
direct
0.118 0.625 0.993 Mg
0.375 0.368 0.493 Mg
0.632 0.125 0.007 Mg
0.875 0.882 0.507 Mg
0.250 0.750 0.500 Ti
0.500 0.500 0.000 Ti
0.000 0.000 0.000 Sn
0.750 0.250 0.500 Sn
```



Number 1: energy -51.93 eV/cell. Number 2: energy -38.24 eV/cell. Number 3: energy -27.96 eV/cell.